# 1
{"formula": "Hf4MoAs", "functional": "PBE", "state": "optimized geometry", "space_group": "I4_1md, No. 109", "dos_at_fermi_per_ev_cell": 12.91, "e_tot_ev_per_cell": -106.87, "volume_a3_per_cell": 289.96, "lattice": [[-6.1681, -1.1081, -3.5902], [3.0459, -6.4048, 1.3653], [-1.3445, 3.4584, 6.1963]], "species": ["Mo", "Hf", "Hf", "Hf", "As", "Hf", "Hf", "Mo", "Hf", "Hf", "Hf", "As"], "frac_coords": [[0.2515, 0.2515, 0.0000], [0.2465, 0.9437, 0.6972], [0.1911, 0.0035, 0.1876], [0.6937, 0.4965, 0.1972], [0.7484, 0.7484, 0.0000], [0.7535, 0.4411, 0.6876], [0.7535, 0.0659, 0.3124], [0.0015, 0.5015, 0.5000], [0.2993, 0.4965, 0.8028], [0.2465, 0.5493, 0.3028], [0.8159, 0.0035, 0.8124], [0.4984, 0.9984, 0.5000]]}

=====

# 2
{"formula": "Hf15Mo11As2", "functional": "PBE", "state": "optimized geometry", "space_group": "P-6m2, No. 187", "dos_at_fermi_per_ev_cell": 28.82, "e_tot_ev_per_cell": -281.43, "volume_a3_per_cell": 543.34, "lattice": [[-7.4037, 3.2890, -2.4378], [0.4954, -8.1648, 2.1601], [-1.8100, 2.0908, 8.3178]], "species": ["Mo", "Hf", "Mo", "As", "Hf", "Mo", "Hf", "Mo", "Hf", "Mo", "Hf", "Mo", "Hf", "Hf", "Mo", "Mo", "Hf", "Hf", "As", "Hf", "Mo", "Hf", "Hf", "Hf", "Mo", "Hf", "Hf", "Mo"], "frac_coords": [[0.1087, 0.2174, 0.0000], [0.1992, 0.3985, 0.2977], [0.8862, 0.7724, 0.5000], [0.3333, 0.6667, 0.5000], [0.4651, 0.5349, 0.0000], [0.5226, 0.4774, 0.5000], [0.7967, 0.2033, 0.7809], [0.8862, 0.1138, 0.5000], [0.7967, 0.5934, 0.7809], [0.7826, 0.8913, 0.0000], [0.0698, 0.5349, 0.0000], [0.1087, 0.8913, 0.0000], [0.7967, 0.2033, 0.2191], [0.6015, 0.8008, 0.7023], [0.5226, 0.0452, 0.5000], [0.2276, 0.1138, 0.5000], [0.6015, 0.8008, 0.2977], [0.4066, 0.2033, 0.7809], [0.6667, 0.3333, 0.0000], [0.1992, 0.8008, 0.7023], [0.0000, 0.0000, 0.7426], [0.4066, 0.2033, 0.2191], [0.7967, 0.5934, 0.2191], [0.1992, 0.3985, 0.7023], [0.9548, 0.4774, 0.5000], [0.4651, 0.9302, 0.0000], [0.1992, 0.8008, 0.2977], [0.0000, 0.0000, 0.2574]]}

=====

# 3
{"formula": "Hf3MoAs", "functional": "PBE", "state": "optimized geometry", "space_group": "Pm-3m, No. 221", "relative_energy_mev_per_atom": 222, "dos_at_fermi_per_ev_cell": 8.68, "e_tot_ev_per_cell": -41.53, "volume_a3_per_cell": 123.94, "lattice": [[-3.6844, 1.7751, 2.8518], [-0.3814, -4.4266, 2.2625], [3.3374, 1.4538, 3.4069]], "species": ["As", "Hf", "Hf", "Hf", "Mo"], "frac_coords": [[0.5000, 0.5000, 0.5000], [0.0000, 0.0000, 0.5000], [0.5000, 0.0000, 0.0000], [0.0000, 0.5000, 0.0000], [0.0000, 0.0000, 0.0000]]}

=====

# 4
{"formula": "HfMoAs3", "functional": "PBE", "state": "optimized geometry", "space_group": "Pm-3m, No. 221", "relative_energy_mev_per_atom": 233, "dos_at_fermi_per_ev_cell": 4.18, "e_tot_ev_per_cell": -30.55, "volume_a3_per_cell": 132.14, "lattice": [[-4.3322, 2.6498, 0.3929], [-1.9794, -3.6698, 2.9254], [1.8049, 2.3355, 4.1510]], "species": ["As", "Mo", "Hf", "As", "As"], "frac_coords": [[0.5000, 0.0000, 0.0000], [0.5000, 0.5000, 0.5000], [0.0000, 0.0000, 0.0000], [0.0000, 0.0000, 0.5000], [0.0000, 0.5000, 0.0000]]}